[1]
Here is a geometry-optimized Sb2PBr structure from Alexandria. Energies are from PBE-GGA.

## Properties
**Size of the total moment**: 0.00 μB/cell
**Distance to the lowest polymorph of the same formula**: 0.000 eV/atom
**VASP energy**: -3.84 eV per atom

The structure in extended XYZ format:
```
4
Lattice="5.8209 -1.8780 0.0000 5.8209 1.8780 0.0000 -1.8357 0.0000 7.0315" Properties=species:S:1:pos:R:3 pbc="T T T"
Sb 0.0000 0.0000 0.0000
Sb 7.3235 0.0000 2.1222
P 2.4378 0.0000 0.5719
Br 4.0109 0.0000 4.8610
```

[2]
Here is a geometry-optimized LaTl4 structure from Alexandria. Energies are from PBE-GGA.

## Properties
**Size of the total moment**: 0.00 μB/cell
**Distance to the lowest polymorph of the same formula**: 0.000 eV/atom
**VASP energy**: -3.10 eV per atom

The structure in extended XYZ format:
```
10
Lattice="-2.5858 3.4466 8.3310 2.5858 -3.4466 8.3310 2.5858 3.4466 -8.3310" Properties=species:S:1:pos:R:3 pbc="T T T"
La 0.0000 1.7233 1.5750
La 2.5858 1.7233 6.7559
Tl 2.5858 0.0000 0.0000
Tl 2.5858 -1.7233 6.4918
Tl 2.5858 0.0342 3.2850
Tl 0.0000 0.0342 5.0460
Tl 0.0000 0.0000 8.3310
Tl 2.5858 3.4124 3.2850
Tl 0.0000 3.4124 5.0460
Tl 0.0000 5.1699 1.8391
```

[3]
Here is a geometry-optimized Ag6PbAu2 structure from Alexandria. Energies are from PBE-GGA.

## Properties
**Size of the total moment**: 0.00 μB/cell
**VASP energy**: -3.02 eV per atom

The structure in extended XYZ format:
```
9
Lattice="4.1170 0.0000 0.0000 0.0000 4.1170 0.0000 0.0000 0.0000 10.7822" Properties=species:S:1:pos:R:3 pbc="T T T"
Ag 0.0000 0.0000 0.0000
Ag 0.0000 2.0585 2.0811
Ag 0.0000 2.0585 8.7011
Ag 2.0585 0.0000 2.0811
Ag 2.0585 0.0000 8.7011
Ag 2.0585 2.0585 0.0000
Pb 0.0000 0.0000 5.3911
Au 2.0585 2.0585 4.0191
Au 2.0585 2.0585 6.7631
```